The following is a SCAN calculation of a crystal of BaMgFe2 relaxed with PBEsol, from the Alexandria database.

abc: 3.192 3.192 8.094
angles: 90.00 90.00 90.00
Element x y z (fractional)
Fe 0.500 0.500 0.199
Ba 0.500 0.500 0.790
Mg 0.000 0.000 0.417
Fe 0.000 0.000 0.094

Values from the calculation:
symmetry: P4mm, No. 99
total energy: -19.798 eV per atom
Fermi-level density of states: 2.84 states/eV per cell
calculated formation energy: 38.4 kJ per mole of atoms